A relaxed structure of ZnGe2Br8. Source: Alexandria, functional PBE.

```
data_ZnGe2Br8
_cell_length_a 12.9251
_cell_length_b 11.0844
_cell_length_c 6.4671
_cell_angle_alpha 90.00
_cell_angle_beta 100.77
_cell_angle_gamma 90.00
_space_group_name_H-M_alt 'C 1 2/m 1'
_space_group_IT_number 12
_space_group_name_Hall '-C 2y'
loop_
_atom_site_label
_atom_site_type_symbol
_atom_site_fract_x
_atom_site_fract_y
_atom_site_fract_z
_atom_site_occupancy
Zn1 Zn 0.0000 0.0000 0.0000 1
Ge1 Ge 0.2080 0.0000 0.7074 1
Br1 Br 0.0912 0.1647 0.8079 1
Br2 Br 0.1017 0.5000 0.1072 1
Br3 Br 0.1808 0.0000 0.3158 1
```

Output
Theoretical density: 3101 kg/m3
Uncorrected formation energy: -0.52 eV/atom
Total energy: -2.692 eV per atom
Spin magnetization: 0.000 μB per formula unit
Volume: 910 Å³/cell


A relaxed structure of ZnGeBr2. Source: Alexandria, functional PBE.

```
data_ZnGeBr2
_cell_length_a 10.3681
_cell_length_b 10.3681
_cell_length_c 4.8238
_cell_angle_alpha 90.00
_cell_angle_beta 90.00
_cell_angle_gamma 90.00
_space_group_name_H-M_alt 'I -4 2 d'
_space_group_IT_number 122
_space_group_name_Hall 'I -4 2bw'
loop_
_atom_site_label
_atom_site_type_symbol
_atom_site_fract_x
_atom_site_fract_y
_atom_site_fract_z
_atom_site_occupancy
Zn1 Zn 0.0000 0.0000 0.0000 1
Ge1 Ge 0.0000 0.0000 0.5000 1
Br1 Br 0.0835 0.7500 0.6250 1
```

Output
Theoretical density: 3815 kg/m3
Uncorrected formation energy: -0.22 eV/atom
Total energy: -2.533 eV per atom
Excess energy over the best structure of this formula in the dataset: 0 meV per atom
Spin magnetization: 0.000 μB per formula unit
Volume: 519 Å³/cell


- The lowest total energy belongs to which entry?
  ZnGe2Br8


- uncorrected formation energy of number 2 (ZnGeBr2)?
  -0.22 eV/atom


- What is the volume in the first record?
  910 Å³/cell